Entry 1:
The following is a PBE calculation of a relaxed In12GaHg6 crystal, from Alexandria via LeMat-Bulk.

- DFT total energy (eV/atom) = -1.927
- energy of formation from the pure elements (eV/f.u.) = 1.079
- energy above the most stable polymorph in this dataset (meV per atom) = 0
- crystal system = trigonal
- V (Å³/cell) = 517.25

a b c (Å): 8.174 8.174 8.174
angles (deg): 100.09 100.09 100.09
Fractional coordinates of all 19 atoms:
In (0.740, 0.261, 0.000)
In (0.000, 0.260, 0.739)
In (0.420, 0.812, 0.420)
In (0.261, 0.000, 0.740)
In (0.188, 0.580, 0.580)
In (0.580, 0.580, 0.188)
In (0.260, 0.739, 0.000)
In (0.739, 0.000, 0.260)
In (0.580, 0.188, 0.580)
In (0.812, 0.420, 0.420)
In (0.000, 0.740, 0.261)
In (0.420, 0.420, 0.812)
Hg (0.848, 0.848, 0.596)
Hg (0.152, 0.404, 0.152)
Hg (0.404, 0.152, 0.152)
Hg (0.596, 0.848, 0.848)
Hg (0.152, 0.152, 0.404)
Hg (0.848, 0.596, 0.848)
Ga (0.000, 0.000, 0.000)



Entry 2:
The following is a PBE calculation of a relaxed BeAsRhBr2 crystal, from Alexandria via LeMat-Bulk.

- DFT total energy (eV/atom) = -3.164
- formation energy without anion corrections (eV/atom) = 0.650
- energy above the most stable polymorph in this dataset (meV per atom) = 4
- crystal system = tetragonal
- V (Å³/cell) = 100.31

a b c (Å): 4.683 4.683 4.574
angles (deg): 90.00 90.00 90.00
Last column: magnetic moment on the atom in μB.
Fractional coordinates of all 5 atoms:
Be (0.000, 0.000, 0.000)  0.00
Br (0.000, 0.500, 0.000)  0.04
Br (0.500, 0.000, 0.000)  0.04
As (0.000, 0.000, 0.500)  -0.03
Rh (0.500, 0.500, 0.500)  0.76



Entry 3:
The following is a PBE calculation of a relaxed InSiAg crystal, from Alexandria via LeMat-Bulk.

- DFT total energy (eV/atom) = -3.484
- formation energy without anion corrections (eV/atom) = 0.187
- crystal system = triclinic
- V (Å³/cell) = 125.46

a b c (Å): 6.514 5.516 3.671
angles (deg): 83.60 105.80 86.04
Fractional coordinates of all 6 atoms:
Si (0.039, 0.738, 0.430)
Si (0.239, 0.561, 0.057)
Ag (0.749, 0.972, 0.734)
Ag (0.008, 0.231, 0.307)
In (0.656, 0.497, 0.544)
In (0.380, 0.055, 0.018)



Entry 4:
The following is a PBE calculation of a relaxed Re2PRu crystal, from Alexandria via LeMat-Bulk.

- DFT total energy (eV/atom) = -10.001
- energy of formation from the pure elements (eV/f.u.) = -0.421
- crystal system = tetragonal
- V (Å³/cell) = 54.68

a b c (Å): 2.879 2.879 6.597
angles (deg): 90.00 90.00 90.00
Fractional coordinates of all 4 atoms:
Re (0.000, 0.000, 0.719)
Re (0.000, 0.000, 0.281)
Ru (0.500, 0.500, 0.000)
P (0.500, 0.500, 0.500)